# PBE RbTi2MnAs, optimized geometry
data_RbTi2MnAs
_cell_length_a 4.764
_cell_length_b 4.764
_cell_length_c 4.670
_cell_angle_alpha 90.00
_cell_angle_beta 90.00
_cell_angle_gamma 90.00
_space_group_name_H-M_alt 'P 4/m m m'
_space_group_IT_number 123
_space_group_name_Hall '-P 4 2'
loop_
_atom_site_label
_atom_site_fract_x
_atom_site_fract_y
_atom_site_fract_z
_atom_site_occupancy
Rb1 0.000 0.000 0.000 1
Ti1 0.000 0.500 0.500 1
Mn1 0.500 0.500 0.500 1
As1 0.500 0.500 0.000 1
# Size of the total moment (μB per cell): 1.3
# ΔH_f (0 K) (meV/atom): 514
# Energy (eV/atom): -5.60